# Ba2ErMnTe5, relaxed, DFT PBE-GGA
data_Ba2ErMnTe5
_cell_length_a 10.283
_cell_length_b 10.283
_cell_length_c 14.181
_cell_angle_alpha 90.00
_cell_angle_beta 90.00
_cell_angle_gamma 154.42
_space_group_name_H-M_alt 'P 1'
_space_group_IT_number 1
loop_
_space_group_symop_operation_xyz
'x,y,z'
loop_
_atom_site_label
_atom_site_fract_x
_atom_site_fract_y
_atom_site_fract_z
Ba1 0.119 0.881 0.500
Ba2 0.128 0.872 0.859
Ba3 0.872 0.128 0.359
Ba4 0.881 0.119 0.000
Er1 0.196 0.804 0.193
Er2 0.804 0.196 0.693
Mn1 0.436 0.564 0.590
Mn2 0.564 0.436 0.090
Te1 0.038 0.962 0.184
Te2 0.306 0.694 0.836
Te3 0.308 0.692 0.541
Te4 0.345 0.655 0.178
Te5 0.496 0.504 0.427
Te6 0.504 0.496 0.927
Te7 0.655 0.345 0.678
Te8 0.692 0.308 0.041
Te9 0.694 0.306 0.336
Te10 0.962 0.038 0.684
# Magnetization (Bohr magnetons per cell): 7.99
# Final energy (eV/cell): -88.307
# Formation energy without anion corrections (eV/f.u.): -10.9
# Space-group type: Cmc2_1 (36)



# BaEr2MoN4, relaxed, DFT PBE-GGA
data_BaEr2MoN4
_cell_length_a 6.410
_cell_length_b 6.410
_cell_length_c 12.063
_cell_angle_alpha 90.00
_cell_angle_beta 90.00
_cell_angle_gamma 148.56
_space_group_name_H-M_alt 'P 1'
_space_group_IT_number 1
loop_
_space_group_symop_operation_xyz
'x,y,z'
loop_
_atom_site_label
_atom_site_fract_x
_atom_site_fract_y
_atom_site_fract_z
Ba1 0.079 0.921 0.750
Ba2 0.921 0.079 0.250
Er1 0.371 0.629 0.539
Er2 0.371 0.629 0.961
Er3 0.629 0.371 0.039
Er4 0.629 0.371 0.461
Mo1 0.184 0.816 0.250
Mo2 0.816 0.184 0.750
N1 0.000 0.000 0.000
N2 0.000 0.000 0.500
N3 0.256 0.744 0.110
N4 0.256 0.744 0.390
N5 0.401 0.599 0.750
N6 0.599 0.401 0.250
N7 0.744 0.256 0.610
N8 0.744 0.256 0.890
# Magnetization (Bohr magnetons per cell): 1.22
# Final energy (eV/cell): -127.771
# Formation energy without anion corrections (eV/f.u.): -8.7
# Space-group type: Cmcm (63)



Which of these has the lowest final energy?
BaEr2MoN4